Record 1
A plane-wave DFT calculation with PBE-GGA was carried out for a geometry-optimized PrZn6Ir2 structure.

Summary:
**Mass density**: 9.729 g/cm³
**Energy of formation**: -0.1552 eV/atom

a = 4.383 Å, b = 6.968 Å, c = 6.968 Å
α = 51.79°, β = 71.67°, γ = 71.67°
Element x y z (fractional)
Zn1 0.500 0.309 0.691
Zn2 0.296 0.471 0.937
Zn3 0.500 0.691 0.309
Zn4 0.296 0.937 0.471
Zn5 0.704 0.063 0.529
Zn6 0.704 0.529 0.063
Ir1 0.882 0.618 0.618
Ir2 0.118 0.382 0.382
Pr1 0.000 0.000 0.000

Record 2
A plane-wave DFT calculation with PBE-GGA was carried out for a geometry-optimized LaCuAsP structure.

Summary:
**Mass density**: 6.204 g/cm³
**Energy of formation**: -0.8210 eV/atom

a = 4.057 Å, b = 4.231 Å, c = 5.632 Å
α = 112.08°, β = 111.11°, γ = 90.00°
Element x y z (fractional)
Cu1 0.567 0.526 0.134
As1 0.696 0.155 0.393
La1 0.328 0.786 0.656
P1 0.943 0.401 0.887

Record 3
A plane-wave DFT calculation with PBE-GGA was carried out for a geometry-optimized Al3Ag7 structure.

Summary:
**Mass density**: 8.000 g/cm³
**Energy of formation**: -0.0111 eV/atom

a = 2.975 Å, b = 14.532 Å, c = 4.014 Å
α = 90.00°, β = 90.00°, γ = 90.00°
Element x y z (fractional)
Ag1 0.500 0.510 0.500
Ag2 0.000 0.197 0.000
Ag3 0.000 0.986 0.000
Ag4 0.000 0.404 0.000
Ag5 0.500 0.710 0.500
Ag6 0.500 0.094 0.500
Ag7 0.500 0.300 0.500
Al1 0.000 0.599 0.000
Al2 0.500 0.902 0.500
Al3 0.000 0.797 0.000

Record 4
A plane-wave DFT calculation with PBE-GGA was carried out for a geometry-optimized Hf2TaBeBr structure.

Summary:
**Mass density**: 8.500 g/cm³
**Uncorrected formation energy**: 1.123 eV per atom

a = 5.154 Å, b = 4.609 Å, c = 5.154 Å
α = 90.00°, β = 90.00°, γ = 90.00°
Element x y z (fractional)
Br1 0.500 0.500 0.500
Hf1 0.500 0.000 0.000
Hf2 0.000 0.000 0.500
Be1 0.000 0.500 0.000
Ta1 0.000 0.000 0.000

Fermi-level density of states (states/eV per atom)
0.735 0.216 0.282 0.927
M_tot (μB/atom)
0.000 0.000 0.000 0.000